one | Compound: Rb2InGa2
Source: Alexandria
Functional: PBE
Structure: optimized geometry

```
Rb2InGa2
1.0
-4.768 1.210 4.193
-3.752 -7.654 2.924
2.237 0.373 7.419
Rb In Ga
4 2 4
direct
0.512 0.287 0.690
0.488 0.713 0.310
0.798 0.713 0.690
0.202 0.287 0.310
0.143 0.714 0.000
0.857 0.286 0.000
0.877 0.000 0.246
0.703 0.000 0.000
0.297 0.000 0.000
0.123 0.000 0.754
```

***

two | Compound: Rb2InGa2
Source: Alexandria
Functional: PBE
Structure: optimized geometry

```
Rb2InGa2
1.0
7.431 0.000 0.000
0.000 7.431 0.000
0.000 0.000 6.118
Ga Rb In
4 4 2
direct
0.376 0.876 0.000
0.876 0.624 0.000
0.624 0.124 0.000
0.124 0.376 0.000
0.185 0.685 0.500
0.685 0.815 0.500
0.815 0.315 0.500
0.315 0.185 0.500
0.000 0.000 0.000
0.500 0.500 0.000
```

***

three | Compound: Rb2InGa2
Source: Alexandria
Functional: PBE
Structure: optimized geometry

```
Rb2InGa2
1.0
3.836 0.000 0.000
0.000 3.836 0.000
1.918 1.918 12.383
Ga Rb In
2 2 1
direct
0.750 0.250 0.500
0.250 0.750 0.500
0.384 0.384 0.231
0.616 0.616 0.769
0.000 0.000 0.000
```

***

The structure with the most favorable energy is one; the runner-up is 0.131 eV/atom above it.

***

one | Compound: RbIn3Ga
Source: Alexandria
Functional: PBE
Structure: optimized geometry

```
RbIn3Ga
1.0
-4.289 0.743 -3.500
-2.193 -4.862 1.656
-2.827 2.646 4.025
Ga Rb In
1 1 3
direct
0.000 0.000 0.000
0.500 0.500 0.500
0.000 0.500 0.000
0.000 0.000 0.500
0.500 0.000 0.000
```

***

two | Compound: RbIn3Ga
Source: Alexandria
Functional: PBE
Structure: optimized geometry

```
RbIn3Ga
1.0
-0.803 -5.642 -2.733
-1.647 -2.469 5.580
-6.049 1.421 -1.157
Ga Rb In
1 1 3
direct
0.500 0.500 0.500
0.000 0.000 0.000
0.000 0.500 0.000
0.000 0.000 0.500
0.500 0.000 0.000
```

***

three | Compound: RbIn3Ga
Source: Alexandria
Functional: PBE
Structure: optimized geometry

```
RbIn3Ga
1.0
6.381 0.000 0.000
0.000 7.521 -0.002
0.000 -3.762 6.512
Rb In Ga
2 6 2
direct
0.750 0.667 0.333
0.250 0.333 0.667
0.750 0.629 0.814
0.250 0.814 0.629
0.250 0.371 0.186
0.750 0.186 0.371
0.250 0.815 0.185
0.750 0.185 0.815
0.000 0.000 0.000
0.500 0.000 0.000
```

***

The structure with the most favorable energy is three; the runner-up is 0.113 eV/atom above it.

***

one | Compound: Rb2In5Ga3
Source: Alexandria
Functional: PBE
Structure: optimized geometry

```
Rb2In5Ga3
1.0
-1.822 -3.792 2.488
4.509 -1.805 0.549
1.229 6.237 10.406
Rb In Ga
2 5 3
direct
0.500 0.000 0.263
0.000 0.500 0.737
0.500 0.500 0.000
0.000 0.000 0.000
0.500 0.000 0.849
0.000 0.500 0.151
0.500 0.500 0.500
0.500 0.000 0.619
0.000 0.500 0.381
0.000 0.000 0.500
```

***

two | Compound: Rb2In5Ga3
Source: Alexandria
Functional: PBE
Structure: optimized geometry

```
Rb2In5Ga3
1.0
6.908 0.000 0.000
3.454 9.215 -0.078
3.454 1.345 9.117
Rb In Ga
4 10 6
direct
0.127 0.626 0.120
0.627 0.120 0.626
0.873 0.374 0.880
0.373 0.880 0.374
0.382 0.252 0.984
0.882 0.984 0.252
0.618 0.748 0.016
0.118 0.016 0.748
0.508 0.742 0.742
0.492 0.258 0.258
0.750 0.500 0.500
0.250 0.500 0.500
0.992 0.258 0.258
0.008 0.742 0.742
0.379 0.487 0.756
0.879 0.756 0.487
0.621 0.513 0.244
0.121 0.244 0.513
0.250 0.000 0.000
0.750 0.000 0.000
```

***

The structure with the most favorable energy is two; the runner-up is 0.005 eV/atom above it.

***

one | Compound: RbIn4Ga
Source: Alexandria
Functional: PBE
Structure: optimized geometry

```
RbIn4Ga
1.0
6.382 0.000 0.000
3.191 5.527 0.000
3.191 1.842 5.211
Ga Rb In
1 1 4
direct
0.000 0.000 0.000
0.250 0.250 0.250
0.626 0.626 0.123
0.626 0.123 0.626
0.626 0.626 0.626
0.123 0.626 0.626
```

***

two | Compound: RbIn4Ga
Source: Alexandria
Functional: PBE
Structure: optimized geometry

```
RbIn4Ga
1.0
-2.751 -3.625 3.246
-2.133 -2.453 -4.547
6.223 -4.947 -0.250
Rb In Ga
1 4 1
direct
0.000 0.000 0.000
0.500 0.500 0.825
0.500 0.500 0.175
0.500 0.000 0.500
0.000 0.500 0.500
0.500 0.500 0.500
```

***

The structure with the most favorable energy is one; the runner-up is 0.182 eV/atom above it.

***

one | Compound: RbInGa2Ru
Source: Alexandria
Functional: PBE
Structure: optimized geometry

```
RbInGa2Ru
1.0
4.940 0.000 0.000
0.000 4.940 0.000
0.000 0.000 5.224
Ru Ga Rb In
1 2 1 1
direct
0.000 0.000 0.000
0.000 0.500 0.000
0.500 0.000 0.000
0.500 0.500 0.500
0.000 0.000 0.500
```

***

two | Compound: RbInGa2Ru
Source: Alexandria
Functional: PBE
Structure: optimized geometry

```
RbInGa2Ru
1.0
5.405 0.000 0.000
0.000 5.267 0.000
0.000 0.000 5.405
Ru Ga Rb In
1 2 1 1
direct
0.000 0.500 0.000
0.000 0.000 0.500
0.500 0.000 0.000
0.500 0.500 0.500
0.000 0.000 0.000
```

***

The structure with the most favorable energy is one; the runner-up is 1.041 eV/atom above it.

***

one | Compound: RbInGa2Sb
Source: Alexandria
Functional: PBE
Structure: optimized geometry

```
RbInGa2Sb
1.0
-3.964 2.339 -3.092
-3.811 -4.736 1.304
-1.865 2.726 4.453
Sb Ga Rb In
1 2 1 1
direct
0.000 0.000 0.000
0.000 0.000 0.500
0.500 0.000 0.000
0.500 0.500 0.500
0.000 0.500 0.000
```

***

two | Compound: RbInGa2Sb
Source: Alexandria
Functional: PBE
Structure: optimized geometry

```
RbInGa2Sb
1.0
4.972 0.000 0.000
0.000 5.242 0.000
-2.486 -2.621 5.564
Rb In Ga Sb
1 1 2 1
direct
0.435 0.435 0.869
0.176 0.676 0.351
0.687 0.187 0.375
0.084 0.084 0.168
0.830 0.830 0.661
```

***

The structure with the most favorable energy is two; the runner-up is 0.445 eV/atom above it.